Compound: K2CaTiCr
Source: Alexandria via LeMat-Bulk
Functional: PBE-GGA
Structure: optimized geometry

abc: 6.5134 6.5134 4.5151
angles: 90.00 90.00 90.00
Last column: nearest neighbours and their distance in Å.
Fractional positions:
K1 0.0000 0.5000 0.0000  2 Ti 3.26
K2 0.5000 0.0000 0.0000  2 Ti 3.26
Ca1 0.0000 0.0000 0.5000  8 K 3.96
Ti1 0.5000 0.5000 0.0000  2 Cr 2.26
Cr1 0.5000 0.5000 0.5000  2 Ti 2.26

Computed properties:
As for the spin magnetization: 1.4 μB/cell. The calculation puts the energy at -16.174 eV per cell.

---

Compound: K2CaZnCr
Source: Alexandria via LeMat-Bulk
Functional: PBE-GGA
Structure: optimized geometry

abc: 6.1385 6.1385 5.9883
angles: 90.00 90.00 90.00
Last column: nearest neighbours and their distance in Å.
Fractional positions:
K1 0.0000 0.5000 0.0000  2 Zn 3.07
K2 0.5000 0.0000 0.0000  2 Zn 3.07
Ca1 0.0000 0.0000 0.5000  2 Zn 2.99
Zn1 0.0000 0.0000 0.0000  2 Ca 2.99, 4 K 3.07
Cr1 0.5000 0.5000 0.5000  8 K 4.29, 4 Ca 4.34

Computed properties:
As for the spin magnetization: 5.1 μB/cell. The calculation puts the energy at -11.449 eV per cell.

---

Compound: Ca2LaCr
Source: Alexandria via LeMat-Bulk
Functional: PBE-GGA
Structure: optimized geometry

abc: 4.8038 4.8038 11.2539
angles: 90.00 90.00 90.00
Last column: nearest neighbours and their distance in Å.
Fractional positions:
Ca1 0.0000 0.5000 0.2500  4 Ca 3.40, 4 Cr 3.70, 4 La 3.70
Ca2 0.0000 0.5000 0.7500  4 Ca 3.40, 4 Cr 3.70, 4 La 3.70
Ca3 0.5000 0.0000 0.2500  4 Ca 3.40, 4 Cr 3.70, 4 La 3.70
Ca4 0.5000 0.0000 0.7500  4 Ca 3.40, 4 Cr 3.70, 4 La 3.70
La1 0.0000 0.0000 0.0000  4 Cr 3.40, 8 Ca 3.70
La2 0.5000 0.5000 0.5000  4 Cr 3.40, 8 Ca 3.70
Cr1 0.0000 0.0000 0.5000  4 La 3.40, 8 Ca 3.70
Cr2 0.5000 0.5000 0.0000  4 La 3.40, 8 Ca 3.70

Computed properties:
As for the spin magnetization: 6.6 μB/cell. The value obtained for the polymorph energy (0 for the lowest one) is 0.68 eV/f.u.

---

Compound: CaLaCr3
Source: Alexandria via LeMat-Bulk
Functional: PBE-GGA
Structure: optimized geometry

abc: 4.6841 4.6841 4.6841
angles: 90.00 90.00 90.00
Last column: nearest neighbours and their distance in Å.
Fractional positions:
Ca1 0.0000 0.0000 0.0000  6 Cr 2.34
La1 0.5000 0.5000 0.5000  12 Cr 3.31
Cr1 0.0000 0.0000 0.5000  2 Ca 2.34
Cr2 0.0000 0.5000 0.0000  2 Ca 2.34
Cr3 0.5000 0.0000 0.0000  2 Ca 2.34

Computed properties:
As for the spin magnetization: 0.0 μB/cell. The value obtained for the polymorph energy (0 for the lowest one) is 3.27 eV/f.u.

---

Compound: CaLaCr2
Source: Alexandria via LeMat-Bulk
Functional: PBE-GGA
Structure: optimized geometry

abc: 3.5764 3.5764 29.7073
angles: 90.00 90.00 120.00
Last column: nearest neighbours and their distance in Å.
Fractional positions:
Ca1 0.0000 0.0000 0.0000  6 Cr 3.26, 6 Ca 3.58
Ca2 0.3333 0.6667 0.6667  6 Cr 3.26, 6 Ca 3.58
Ca3 0.6667 0.3333 0.3333  6 Cr 3.26, 6 Ca 3.58
La1 0.0000 0.0000 0.5000  6 Cr 3.19
La2 0.3333 0.6667 0.1667  6 Cr 3.19
La3 0.6667 0.3333 0.8333  6 Cr 3.19
Cr1 0.0000 0.0000 0.2486  3 La 3.19, 3 Ca 3.26
Cr2 0.0000 0.0000 0.7514  3 La 3.19, 3 Ca 3.26
Cr3 0.3333 0.6667 0.4181  3 La 3.19, 3 Ca 3.26
Cr4 0.3333 0.6667 0.9152  3 La 3.19, 3 Ca 3.26
Cr5 0.6667 0.3333 0.0848  3 La 3.19, 3 Ca 3.26
Cr6 0.6667 0.3333 0.5819  3 La 3.19, 3 Ca 3.26

Computed properties:
As for the spin magnetization: 24.7 μB/cell. The value obtained for the polymorph energy (0 for the lowest one) is 1.70 eV/f.u.

---

Compound: Ca2LaCr
Source: Alexandria via LeMat-Bulk
Functional: PBE-GGA
Structure: optimized geometry

abc: 3.8621 5.8290 11.6050
angles: 90.00 90.00 90.00
Last column: nearest neighbours and their distance in Å.
Fractional positions:
Ca1 0.0000 0.0000 0.0000  2 Cr 3.15
Ca2 0.0000 0.5000 0.2099  4 Cr 3.50, 2 La 3.75, 6 Ca 3.80-3.88
Ca3 0.5000 0.0000 0.7099  4 Cr 3.50, 2 La 3.75, 6 Ca 3.80-3.88
Ca4 0.5000 0.5000 0.5000  2 Cr 3.15
La1 0.0000 0.0000 0.4135  2 Cr 3.01
La2 0.5000 0.5000 0.9135  2 Cr 3.01
Cr1 0.0000 0.5000 0.7147  2 La 3.01, 2 Ca 3.15
Cr2 0.5000 0.0000 0.2147  2 La 3.01, 2 Ca 3.15

Computed properties:
As for the spin magnetization: 7.0 μB/cell. The value obtained for the polymorph energy (0 for the lowest one) is 0.30 eV/f.u.